# 1
A relaxed structure of NaLa6Hg5, computed with PBE.

Output
M_tot in μB/cell: 3.355
Calculated total energy in eV/atom: -3.084

Geometry as CIF:
```
data_NaLa6Hg5
_cell_length_a 5.551
_cell_length_b 7.852
_cell_length_c 16.709
_cell_angle_alpha 90.00
_cell_angle_beta 90.00
_cell_angle_gamma 90.00
_space_group_name_H-M_alt 'I m m m'
_space_group_IT_number 71
_space_group_name_Hall '-I 2 2'
loop_
_atom_site_label
_atom_site_type_symbol
_atom_site_fract_x
_atom_site_fract_y
_atom_site_fract_z
Na1 Na 0.000 0.000 0.000
La1 La 0.000 0.234 0.500
La2 La 0.000 0.256 0.173
Hg1 Hg 0.000 0.000 0.333
Hg2 Hg 0.000 0.500 0.000
Hg3 Hg 0.000 0.500 0.347
```


# 2
A relaxed structure of Na4Er3BiTe8, computed with PBE.

Output
M_tot in μB/cell: 0.000
E_form (uncorrected) in kJ/mol of atoms: -107.0
Calculated total energy in eV/atom: -4.108

Geometry as CIF:
```
data_Na4Er3BiTe8
_cell_length_a 8.8660
_cell_length_b 8.8660
_cell_length_c 22.7310
_cell_angle_alpha 90.00
_cell_angle_beta 90.00
_cell_angle_gamma 120.00
_space_group_name_H-M_alt 'R -3 m'
_space_group_IT_number 166
_space_group_name_Hall '-R 3 2"'
loop_
_atom_site_label
_atom_site_type_symbol
_atom_site_fract_x
_atom_site_fract_y
_atom_site_fract_z
Na1 Na 0.0000 0.0000 0.0000
Na2 Na 0.0000 0.5000 0.0000
Er1 Er 0.0000 0.5000 0.5000
Bi1 Bi 0.0000 0.0000 0.5000
Te1 Te 0.0000 0.0000 0.2429
Te2 Te 0.0058 0.5029 0.7560
```


# 3
A relaxed structure of ZrZn2InRh, computed with PBE.

Output
M_tot in μB/cell: 0.000
Calculated total energy in eV/atom: -3.211

Geometry as CIF:
```
data_ZrZn2InRh
_cell_length_a 4.687
_cell_length_b 4.687
_cell_length_c 5.488
_cell_angle_alpha 90.00
_cell_angle_beta 90.00
_cell_angle_gamma 90.00
_space_group_name_H-M_alt 'P 4/m m m'
_space_group_IT_number 123
_space_group_name_Hall '-P 4 2'
loop_
_atom_site_label
_atom_site_type_symbol
_atom_site_fract_x
_atom_site_fract_y
_atom_site_fract_z
Zr1 Zr 0.000 0.000 0.000
Zn1 Zn 0.000 0.500 0.500
In1 In 0.000 0.000 0.500
Rh1 Rh 0.500 0.500 0.000
```


# 4
A relaxed structure of SrAsIr, computed with PBE.

Output
M_tot in μB/cell: 0.000
Calculated total energy in eV/atom: -5.740

Geometry as CIF:
```
data_SrAsIr
_cell_length_a 4.2121
_cell_length_b 4.2121
_cell_length_c 4.6504
_cell_angle_alpha 90.00
_cell_angle_beta 90.00
_cell_angle_gamma 120.00
_space_group_name_H-M_alt 'P -6 m 2'
_space_group_IT_number 187
_space_group_name_Hall 'P -6 2'
loop_
_atom_site_label
_atom_site_type_symbol
_atom_site_fract_x
_atom_site_fract_y
_atom_site_fract_z
Sr1 Sr 0.0000 0.0000 0.0000
As1 As 0.3333 0.6667 0.5000
Ir1 Ir 0.6667 0.3333 0.5000
```


# 5
A relaxed structure of Cr2SbAu, computed with PBE.

Output
M_tot in μB/cell: 0.593
E_form (uncorrected) in kJ/mol of atoms: 22.1
Calculated total energy in eV/atom: -6.432

Geometry as CIF:
```
data_Cr2SbAu
_cell_length_a 3.204
_cell_length_b 3.204
_cell_length_c 6.929
_cell_angle_alpha 90.00
_cell_angle_beta 90.00
_cell_angle_gamma 90.00
_space_group_name_H-M_alt 'P 4 m m'
_space_group_IT_number 99
loop_
_space_group_symop_operation_xyz
'x,y,z'
'-y,x,z'
'-x,-y,z'
'y,-x,z'
'-x,y,z'
'y,x,z'
'x,-y,z'
'-y,-x,z'
loop_
_atom_site_label
_atom_site_type_symbol
_atom_site_fract_x
_atom_site_fract_y
_atom_site_fract_z
Cr1 Cr 0.000 0.000 0.000
Cr2 Cr 0.500 0.500 0.171
Sb1 Sb 0.000 0.000 0.428
Au1 Au 0.500 0.500 0.764
```


# 6
A relaxed structure of NbHgBi3, computed with PBE.

Output
M_tot in μB/cell: 0.000
E above lowest polymorph in meV per atom: 0
Calculated total energy in eV/atom: -4.053

Geometry as CIF:
```
data_NbHgBi3
_cell_length_a 5.532
_cell_length_b 5.532
_cell_length_c 5.532
_cell_angle_alpha 90.00
_cell_angle_beta 90.00
_cell_angle_gamma 90.00
_space_group_name_H-M_alt 'P m -3 m'
_space_group_IT_number 221
_space_group_name_Hall '-P 4 2 3'
loop_
_atom_site_label
_atom_site_type_symbol
_atom_site_fract_x
_atom_site_fract_y
_atom_site_fract_z
Nb1 Nb 0.000 0.000 0.000
Hg1 Hg 0.500 0.500 0.500
Bi1 Bi 0.000 0.000 0.500
```


# 7
A relaxed structure of LaTmGaCo, computed with PBE.

Output
M_tot in μB/cell: 3.921
Calculated total energy in eV/atom: -5.135

Geometry as CIF:
```
data_LaTmGaCo
_cell_length_a 7.105
_cell_length_b 7.105
_cell_length_c 7.105
_cell_angle_alpha 90.00
_cell_angle_beta 90.00
_cell_angle_gamma 90.00
_space_group_name_H-M_alt 'F -4 3 m'
_space_group_IT_number 216
_space_group_name_Hall 'F -4 2 3'
loop_
_atom_site_label
_atom_site_type_symbol
_atom_site_fract_x
_atom_site_fract_y
_atom_site_fract_z
La1 La 0.000 0.000 0.000
Tm1 Tm 0.000 0.000 0.500
Ga1 Ga 0.250 0.250 0.750
Co1 Co 0.250 0.250 0.250
```


# 8
A relaxed structure of Ca2ZrW, computed with PBE.

Output
M_tot in μB/cell: 0.893
E above lowest polymorph in meV per atom: 410
Calculated total energy in eV/atom: -5.578

Geometry as CIF:
```
data_Ca2ZrW
_cell_length_a 4.254
_cell_length_b 4.254
_cell_length_c 10.614
_cell_angle_alpha 90.00
_cell_angle_beta 90.00
_cell_angle_gamma 90.00
_space_group_name_H-M_alt 'I 4/m m m'
_space_group_IT_number 139
_space_group_name_Hall '-I 4 2'
loop_
_atom_site_label
_atom_site_type_symbol
_atom_site_fract_x
_atom_site_fract_y
_atom_site_fract_z
Ca1 Ca 0.000 0.500 0.250
Zr1 Zr 0.000 0.000 0.000
W1 W 0.000 0.000 0.500
```


Repeat the first record exactly.
A relaxed structure of NaLa6Hg5, computed with PBE.

Output
M_tot in μB/cell: 3.355
Calculated total energy in eV/atom: -3.084

Geometry as CIF:
```
data_NaLa6Hg5
_cell_length_a 5.551
_cell_length_b 7.852
_cell_length_c 16.709
_cell_angle_alpha 90.00
_cell_angle_beta 90.00
_cell_angle_gamma 90.00
_space_group_name_H-M_alt 'I m m m'
_space_group_IT_number 71
_space_group_name_Hall '-I 2 2'
loop_
_atom_site_label
_atom_site_type_symbol
_atom_site_fract_x
_atom_site_fract_y
_atom_site_fract_z
Na1 Na 0.000 0.000 0.000
La1 La 0.000 0.234 0.500
La2 La 0.000 0.256 0.173
Hg1 Hg 0.000 0.000 0.333
Hg2 Hg 0.000 0.500 0.000
Hg3 Hg 0.000 0.500 0.347
```